No. 1
This record from Alexandria describes a relaxed structure of CsCu4Se2S. The functional is PBE.

Formation energy from raw total energies = -30.4 kJ/mol of atoms
Volume = 23.62 A^3/atom
Final energy = -30.9 eV per cell

Unit cell a=5.695 b=5.695 c=7.021 alpha=112.36 beta=112.36 gamma=93.56
Positions (direct):
1 Cs 0.009 0.009 0.018
2 Cu 0.505 0.505 0.679
3 Cu 0.493 0.813 0.305
4 Cu 0.813 0.493 0.305
5 Cu 0.174 0.174 0.679
6 Se 0.753 0.253 0.507
7 Se 0.253 0.753 0.507
8 S 0.500 0.500 0.000

=====

No. 2
This record from Alexandria describes a relaxed structure of Rb2LiGeBr6. The functional is PBE.

Formation energy from raw total energies = -114.0 kJ/mol of atoms
Volume = 31.63 A^3/atom
Final energy = -30.3 eV per cell

Unit cell a=7.646 b=7.646 c=7.649 alpha=60.01 beta=60.01 gamma=90.00
Positions (direct):
1 Ge 0.000 0.000 0.000
2 Br 0.246 0.246 0.509
3 Br 0.754 0.754 0.491
4 Br 0.246 0.246 0.000
5 Br 0.754 0.754 0.000
6 Br 0.754 0.246 0.000
7 Br 0.246 0.754 0.000
8 Rb 0.750 0.250 0.500
9 Rb 0.250 0.750 0.500
10 Li 0.500 0.500 0.000

=====

Question: What is the formula in the first record?
Answer: CsCu4Se2S